1.
DFT (PBE) results for an optimized crystal structure of Pm2CdHg8.

Properties
VASP energy	-1.4281	eV per atom
ΔH_f (0 K)	-2.9	eV per formula unit
energy relative to the lowest polymorph listed for this composition	0	meV per atom

CIF file:
```
data_Pm2CdHg8
_chemical_formula_sum 'Pm2 Cd1 Hg8'
_symmetry_space_group_name_H-M 'P 1'
_symmetry_Int_Tables_number 1
_cell_length_a 4.914
_cell_length_b 4.914
_cell_length_c 11.796
_cell_angle_alpha 90.00
_cell_angle_beta 90.00
_cell_angle_gamma 90.00
loop_
_symmetry_equiv_pos_as_xyz
'x,y,z'
loop_
_atom_site_label
_atom_site_type_symbol
_atom_site_fract_x
_atom_site_fract_y
_atom_site_fract_z
_atom_site_occupancy
Hg1 Hg 0.500 0.500 0.324 1
Hg2 Hg 0.000 0.500 0.859 1
Hg3 Hg 0.000 0.500 0.500 1
Hg4 Hg 0.000 0.500 0.141 1
Hg5 Hg 0.500 0.000 0.141 1
Hg6 Hg 0.500 0.500 0.676 1
Hg7 Hg 0.500 0.000 0.859 1
Hg8 Hg 0.500 0.000 0.500 1
Pm1 Pm 0.000 0.000 0.686 1
Pm2 Pm 0.000 0.000 0.314 1
Cd1 Cd 0.000 0.000 0.000 1
```



2.
DFT (PBE) results for an optimized crystal structure of Pm2CdHg3.

Properties
VASP energy	-2.3032	eV per atom
ΔH_f (0 K)	-2.5	eV per formula unit

CIF file:
```
data_Pm2CdHg3
_chemical_formula_sum 'Pm4 Cd2 Hg6'
_symmetry_space_group_name_H-M 'P 1'
_symmetry_Int_Tables_number 1
_cell_length_a 6.116
_cell_length_b 6.116
_cell_length_c 9.376
_cell_angle_alpha 102.41
_cell_angle_beta 102.41
_cell_angle_gamma 109.93
loop_
_symmetry_equiv_pos_as_xyz
'x,y,z'
loop_
_atom_site_label
_atom_site_type_symbol
_atom_site_fract_x
_atom_site_fract_y
_atom_site_fract_z
_atom_site_occupancy
Cd1 Cd 0.333 0.333 0.667 1
Cd2 Cd 0.667 0.667 0.333 1
Hg1 Hg 0.663 0.169 0.832 1
Hg2 Hg 0.169 0.663 0.832 1
Hg3 Hg 0.831 0.337 0.168 1
Hg4 Hg 0.337 0.831 0.168 1
Hg5 Hg 0.832 0.832 0.664 1
Hg6 Hg 0.168 0.168 0.336 1
Pm1 Pm 0.247 0.247 0.000 1
Pm2 Pm 0.753 0.753 0.000 1
Pm3 Pm 0.750 0.250 0.500 1
Pm4 Pm 0.250 0.750 0.500 1
```



3.
DFT (PBE) results for an optimized crystal structure of Pm4Cd2Hg.

Properties
VASP energy	-2.9752	eV per atom
ΔH_f (0 K)	0.3	eV per formula unit
energy relative to the lowest polymorph listed for this composition	259	meV per atom

CIF file:
```
data_Pm4Cd2Hg
_chemical_formula_sum 'Pm4 Cd2 Hg1'
_symmetry_space_group_name_H-M 'P 1'
_symmetry_Int_Tables_number 1
_cell_length_a 5.824
_cell_length_b 5.824
_cell_length_c 7.907
_cell_angle_alpha 111.61
_cell_angle_beta 111.61
_cell_angle_gamma 90.00
loop_
_symmetry_equiv_pos_as_xyz
'x,y,z'
loop_
_atom_site_label
_atom_site_type_symbol
_atom_site_fract_x
_atom_site_fract_y
_atom_site_fract_z
_atom_site_occupancy
Cd1 Cd 0.375 0.375 0.750 1
Cd2 Cd 0.625 0.625 0.250 1
Pm1 Pm 0.500 0.000 0.000 1
Pm2 Pm 0.750 0.250 0.500 1
Pm3 Pm 0.000 0.500 0.000 1
Pm4 Pm 0.250 0.750 0.500 1
Hg1 Hg 0.000 0.000 0.000 1
```



4.
DFT (PBE) results for an optimized crystal structure of Pm12CdHg6.

Properties
VASP energy	-3.3607	eV per atom
ΔH_f (0 K)	-4.1	eV per formula unit

CIF file:
```
data_Pm12CdHg6
_chemical_formula_sum 'Pm12 Cd1 Hg6'
_symmetry_space_group_name_H-M 'P 1'
_symmetry_Int_Tables_number 1
_cell_length_a 9.152
_cell_length_b 9.152
_cell_length_c 9.152
_cell_angle_alpha 110.96
_cell_angle_beta 110.96
_cell_angle_gamma 110.96
loop_
_symmetry_equiv_pos_as_xyz
'x,y,z'
loop_
_atom_site_label
_atom_site_type_symbol
_atom_site_fract_x
_atom_site_fract_y
_atom_site_fract_z
_atom_site_occupancy
Hg1 Hg 0.594 0.360 0.081 1
Hg2 Hg 0.360 0.081 0.594 1
Hg3 Hg 0.406 0.640 0.919 1
Hg4 Hg 0.919 0.406 0.640 1
Hg5 Hg 0.081 0.594 0.360 1
Hg6 Hg 0.640 0.919 0.406 1
Pm1 Pm 0.525 0.810 0.658 1
Pm2 Pm 0.835 0.275 0.923 1
Pm3 Pm 0.275 0.923 0.835 1
Pm4 Pm 0.077 0.165 0.725 1
Pm5 Pm 0.725 0.077 0.165 1
Pm6 Pm 0.923 0.835 0.275 1
Pm7 Pm 0.810 0.658 0.525 1
Pm8 Pm 0.342 0.475 0.190 1
Pm9 Pm 0.165 0.725 0.077 1
Pm10 Pm 0.475 0.190 0.342 1
Pm11 Pm 0.658 0.525 0.810 1
Pm12 Pm 0.190 0.342 0.475 1
Cd1 Cd 0.000 0.000 0.000 1
```



5.
DFT (PBE) results for an optimized crystal structure of Pm3CdHg2.

Properties
VASP energy	-3.0499	eV per atom
ΔH_f (0 K)	-2.5	eV per formula unit

CIF file:
```
data_Pm3CdHg2
_chemical_formula_sum 'Pm3 Cd1 Hg2'
_symmetry_space_group_name_H-M 'P 1'
_symmetry_Int_Tables_number 1
_cell_length_a 3.817
_cell_length_b 3.817
_cell_length_c 11.462
_cell_angle_alpha 90.00
_cell_angle_beta 90.00
_cell_angle_gamma 90.00
loop_
_symmetry_equiv_pos_as_xyz
'x,y,z'
loop_
_atom_site_label
_atom_site_type_symbol
_atom_site_fract_x
_atom_site_fract_y
_atom_site_fract_z
_atom_site_occupancy
Hg1 Hg 0.500 0.500 0.832 1
Hg2 Hg 0.500 0.500 0.168 1
Cd1 Cd 0.500 0.500 0.500 1
Pm1 Pm 0.000 0.000 0.669 1
Pm2 Pm 0.000 0.000 0.331 1
Pm3 Pm 0.000 0.000 0.000 1
```



6.
DFT (PBE) results for an optimized crystal structure of Pm5Cd4Hg.

Properties
VASP energy	-3.1215	eV per atom
ΔH_f (0 K)	-3.5	eV per formula unit

CIF file:
```
data_Pm5Cd4Hg
_chemical_formula_sum 'Pm5 Cd4 Hg1'
_symmetry_space_group_name_H-M 'P 1'
_symmetry_Int_Tables_number 1
_cell_length_a 3.829
_cell_length_b 3.829
_cell_length_c 19.118
_cell_angle_alpha 90.00
_cell_angle_beta 90.00
_cell_angle_gamma 90.00
loop_
_symmetry_equiv_pos_as_xyz
'x,y,z'
loop_
_atom_site_label
_atom_site_type_symbol
_atom_site_fract_x
_atom_site_fract_y
_atom_site_fract_z
_atom_site_occupancy
Hg1 Hg 0.000 0.000 0.000 1
Pm1 Pm 0.500 0.500 0.500 1
Pm2 Pm 0.500 0.500 0.701 1
Pm3 Pm 0.500 0.500 0.299 1
Pm4 Pm 0.500 0.500 0.099 1
Pm5 Pm 0.500 0.500 0.901 1
Cd1 Cd 0.000 0.000 0.200 1
Cd2 Cd 0.000 0.000 0.600 1
Cd3 Cd 0.000 0.000 0.400 1
Cd4 Cd 0.000 0.000 0.800 1
```



7.
DFT (PBE) results for an optimized crystal structure of Pm7Cd6Hg16.

Properties
VASP energy	-1.8263	eV per atom
ΔH_f (0 K)	-9.4	eV per formula unit

CIF file:
```
data_Pm7Cd6Hg16
_chemical_formula_sum 'Pm7 Cd6 Hg16'
_symmetry_space_group_name_H-M 'P 1'
_symmetry_Int_Tables_number 1
_cell_length_a 10.238
_cell_length_b 10.238
_cell_length_c 10.238
_cell_angle_alpha 60.00
_cell_angle_beta 60.00
_cell_angle_gamma 60.00
loop_
_symmetry_equiv_pos_as_xyz
'x,y,z'
loop_
_atom_site_label
_atom_site_type_symbol
_atom_site_fract_x
_atom_site_fract_y
_atom_site_fract_z
_atom_site_occupancy
Cd1 Cd 0.243 0.757 0.757 1
Cd2 Cd 0.757 0.243 0.243 1
Cd3 Cd 0.243 0.243 0.757 1
Cd4 Cd 0.757 0.243 0.757 1
Cd5 Cd 0.757 0.757 0.243 1
Cd6 Cd 0.243 0.757 0.243 1
Pm1 Pm 0.000 0.500 0.000 1
Pm2 Pm 0.500 0.000 0.000 1
Pm3 Pm 0.000 0.000 0.000 1
Pm4 Pm 0.000 0.000 0.500 1
Pm5 Pm 0.500 0.500 0.000 1
Pm6 Pm 0.000 0.500 0.500 1
Pm7 Pm 0.500 0.000 0.500 1
Hg1 Hg 0.615 0.128 0.128 1
Hg2 Hg 0.615 0.615 0.155 1
Hg3 Hg 0.128 0.128 0.615 1
Hg4 Hg 0.872 0.872 0.872 1
Hg5 Hg 0.615 0.615 0.615 1
Hg6 Hg 0.155 0.615 0.615 1
Hg7 Hg 0.845 0.385 0.385 1
Hg8 Hg 0.385 0.872 0.872 1
Hg9 Hg 0.385 0.385 0.385 1
Hg10 Hg 0.872 0.385 0.872 1
Hg11 Hg 0.128 0.128 0.128 1
Hg12 Hg 0.872 0.872 0.385 1
Hg13 Hg 0.385 0.845 0.385 1
Hg14 Hg 0.615 0.155 0.615 1
Hg15 Hg 0.385 0.385 0.845 1
Hg16 Hg 0.128 0.615 0.128 1
```



8.
DFT (PBE) results for an optimized crystal structure of Pm2Cd2Hg.

Properties
VASP energy	-2.6404	eV per atom
ΔH_f (0 K)	-1.6	eV per formula unit
energy relative to the lowest polymorph listed for this composition	6	meV per atom

CIF file:
```
data_Pm2Cd2Hg
_chemical_formula_sum 'Pm4 Cd4 Hg2'
_symmetry_space_group_name_H-M 'P 1'
_symmetry_Int_Tables_number 1
_cell_length_a 5.000
_cell_length_b 6.174
_cell_length_c 10.106
_cell_angle_alpha 96.38
_cell_angle_beta 75.68
_cell_angle_gamma 66.11
loop_
_symmetry_equiv_pos_as_xyz
'x,y,z'
loop_
_atom_site_label
_atom_site_type_symbol
_atom_site_fract_x
_atom_site_fract_y
_atom_site_fract_z
_atom_site_occupancy
Cd1 Cd 0.659 0.814 0.867 1
Cd2 Cd 0.341 0.186 0.133 1
Cd3 Cd 0.031 0.342 0.597 1
Cd4 Cd 0.969 0.658 0.403 1
Pm1 Pm 0.905 0.268 0.921 1
Pm2 Pm 0.095 0.732 0.079 1
Pm3 Pm 0.304 0.745 0.646 1
Pm4 Pm 0.696 0.255 0.354 1
Hg1 Hg 0.432 0.828 0.307 1
Hg2 Hg 0.568 0.172 0.693 1
```



9.
DFT (PBE) results for an optimized crystal structure of PmCd6Hg2.

Properties
VASP energy	-1.3670	eV per atom
ΔH_f (0 K)	-1.5	eV per formula unit
energy relative to the lowest polymorph listed for this composition	0	meV per atom

CIF file:
```
data_PmCd6Hg2
_chemical_formula_sum 'Pm1 Cd6 Hg2'
_symmetry_space_group_name_H-M 'P 1'
_symmetry_Int_Tables_number 1
_cell_length_a 5.028
_cell_length_b 5.032
_cell_length_c 9.785
_cell_angle_alpha 90.07
_cell_angle_beta 90.00
_cell_angle_gamma 119.98
loop_
_symmetry_equiv_pos_as_xyz
'x,y,z'
loop_
_atom_site_label
_atom_site_type_symbol
_atom_site_fract_x
_atom_site_fract_y
_atom_site_fract_z
_atom_site_occupancy
Hg1 Hg 0.666 0.333 0.349 1
Hg2 Hg 0.334 0.667 0.651 1
Cd1 Cd 0.001 0.001 0.840 1
Cd2 Cd 0.667 0.334 0.696 1
Cd3 Cd 0.667 0.333 0.023 1
Cd4 Cd 0.333 0.667 0.977 1
Cd5 Cd 0.999 0.999 0.160 1
Cd6 Cd 0.333 0.666 0.304 1
Pm1 Pm 0.000 0.000 0.500 1
```



10.
DFT (PBE) results for an optimized crystal structure of PmCd2Hg2.

Properties
VASP energy	-1.7272	eV per atom
ΔH_f (0 K)	-1.5	eV per formula unit
energy relative to the lowest polymorph listed for this composition	0	meV per atom

CIF file:
```
data_PmCd2Hg2
_chemical_formula_sum 'Pm1 Cd2 Hg2'
_symmetry_space_group_name_H-M 'P 1'
_symmetry_Int_Tables_number 1
_cell_length_a 4.926
_cell_length_b 4.926
_cell_length_c 6.543
_cell_angle_alpha 67.89
_cell_angle_beta 67.89
_cell_angle_gamma 60.00
loop_
_symmetry_equiv_pos_as_xyz
'x,y,z'
loop_
_atom_site_label
_atom_site_type_symbol
_atom_site_fract_x
_atom_site_fract_y
_atom_site_fract_z
_atom_site_occupancy
Cd1 Cd 0.203 0.703 0.390 1
Cd2 Cd 0.797 0.297 0.610 1
Hg1 Hg 0.410 0.910 0.770 1
Hg2 Hg 0.590 0.090 0.230 1
Pm1 Pm 0.000 0.500 0.000 1
```